! Ni2TeO (GGA+U, relaxed); values from VASP
! energy	-2.532	eV/atom
! space group	Fm-3m
&SYSTEM
  ibrav = 0, nat = 4, ntyp = 3
/
ATOMIC_SPECIES
Ni 58.69 Ni.upf
Te 127.60 Te.upf
O 16.00 O.upf
CELL_PARAMETERS angstrom
0.0000 2.9425 2.9425
2.9425 0.0000 2.9425
2.9425 2.9425 0.0000
ATOMIC_POSITIONS angstrom
Ni 4.4137 4.4137 4.4137
Ni 1.4712 1.4712 1.4712
Te 2.9425 2.9425 2.9425
O 0.0000 0.0000 0.0000